Sc3AgHg6 | PBE | relaxed

abc: 8.584 4.900 10.927
angles: 90.00 109.48 90.00
Space group P2_1/m (No. 11)
One atom of each set of equivalent atoms:
Sc  0.043  0.250  0.390 x2
Sc  0.144  0.750  0.214 x2
Sc  0.279  0.250  0.993 x2
Ag  0.461  0.250  0.572 x2
Hg  0.029  0.750  0.920 x2
Hg  0.163  0.250  0.688 x2
Hg  0.243  0.750  0.511 x2
Hg  0.341  0.750  0.834 x2
Hg  0.344  0.250  0.291 x2
Hg  0.444  0.750  0.140 x2

The calculation puts the uncorrected energy at -52.1 eV/cell.